Below is a geometry-optimized LaHf2Os structure, with properties calculated at the PBE level.

Values from the calculation:
ΔH_f (0 K) = -0.194 eV/atom
Uncorrected energy = -9.210 eV per atom
Relative energy among the computed polymorphs = 0.0 meV per atom

CIF file:
```
data_LaHf2Os
_space_group_name_H-M_alt 'P 4/m m m'
_space_group_IT_number 123
_space_group_name_Hall '-P 4 2'
_cell_length_a 3.294
_cell_length_b 3.294
_cell_length_c 8.267
_cell_angle_alpha 90.00
_cell_angle_beta 90.00
_cell_angle_gamma 90.00
loop_
_atom_site_label
_atom_site_type_symbol
_atom_site_fract_x
_atom_site_fract_y
_atom_site_fract_z
_atom_site_occupancy
La1 La 0.000 0.000 0.000 1
Hf1 Hf 0.500 0.500 0.311 1
Os1 Os 0.000 0.000 0.500 1
```